Record 1
Density functional theory data (GGA-PBE) for EuYHoEr after structural relaxation.

Summary:
Uncorrected energy, eV per atom: -6.3053
Fermi-level density of states, states/eV/atom: 1.94
Calculated formation energy, eV/f.u.: 0.66

```
data_EuYHoEr
_cell_length_a 8.1020
_cell_length_b 8.1020
_cell_length_c 8.1020
_cell_angle_alpha 90.00
_cell_angle_beta 90.00
_cell_angle_gamma 90.00
_space_group_name_H-M_alt 'F -4 3 m'
_space_group_IT_number 216
_space_group_name_Hall 'F -4 2 3'
loop_
_atom_site_label
_atom_site_type_symbol
_atom_site_fract_x
_atom_site_fract_y
_atom_site_fract_z
_atom_site_occupancy
Eu1 Eu 0.0000 0.0000 0.0000 1
Y1 Y 0.2500 0.2500 0.2500 1
Ho1 Ho 0.2500 0.2500 0.7500 1
Er1 Er 0.0000 0.0000 0.5000 1
```

Record 2
Density functional theory data (GGA-PBE) for TbSmHo2Se6 after structural relaxation.

Summary:
Uncorrected energy, eV per atom: -5.7904
Fermi-level density of states, states/eV/atom: 0.00
E_form (uncorrected), eV/atom: -1.849

```
data_TbSmHo2Se6
_cell_length_a 7.2419
_cell_length_b 7.2419
_cell_length_c 19.4850
_cell_angle_alpha 90.00
_cell_angle_beta 90.00
_cell_angle_gamma 120.00
_space_group_name_H-M_alt 'R 3'
_space_group_IT_number 146
_space_group_name_Hall 'R 3'
loop_
_atom_site_label
_atom_site_type_symbol
_atom_site_fract_x
_atom_site_fract_y
_atom_site_fract_z
_atom_site_occupancy
Tb1 Tb 0.0000 0.0000 0.0000 1
Sm1 Sm 0.0000 0.0000 0.5023 1
Ho1 Ho 0.0000 0.0000 0.3046 1
Ho2 Ho 0.0000 0.0000 0.8031 1
Se1 Se 0.0061 0.3090 0.4001 1
Se2 Se 0.0133 0.7051 0.9004 1
```

Record 3
Density functional theory data (GGA-PBE) for BaMg4In after structural relaxation.

Summary:
Uncorrected energy, eV per atom: -1.8824
Fermi-level density of states, states/eV/atom: 0.45
ΔE to the lowest computed polymorph, meV per atom: 70
Calculated formation energy, eV/f.u.: -0.25

```
data_BaMg4In
_cell_length_a 8.8697
_cell_length_b 8.8697
_cell_length_c 8.8697
_cell_angle_alpha 90.00
_cell_angle_beta 90.00
_cell_angle_gamma 90.00
_space_group_name_H-M_alt 'F -4 3 m'
_space_group_IT_number 216
_space_group_name_Hall 'F -4 2 3'
loop_
_atom_site_label
_atom_site_type_symbol
_atom_site_fract_x
_atom_site_fract_y
_atom_site_fract_z
_atom_site_occupancy
Ba1 Ba 0.0000 0.0000 0.0000 1
Mg1 Mg 0.1240 0.1240 0.3760 1
In1 In 0.2500 0.2500 0.7500 1
```

Record 4
Density functional theory data (GGA-PBE) for PmPrEr2Th after structural relaxation.

Summary:
Uncorrected energy, eV per atom: -5.1612
Fermi-level density of states, states/eV/atom: 1.58
Calculated formation energy, eV/f.u.: 0.27

```
data_PmPrEr2Th
_cell_length_a 6.3191
_cell_length_b 5.7753
_cell_length_c 9.6296
_cell_angle_alpha 90.00
_cell_angle_beta 109.00
_cell_angle_gamma 90.00
_space_group_name_H-M_alt 'P 1 21/m 1'
_space_group_IT_number 11
_space_group_name_Hall '-P 2yb'
loop_
_atom_site_label
_atom_site_type_symbol
_atom_site_fract_x
_atom_site_fract_y
_atom_site_fract_z
_atom_site_occupancy
Pm1 Pm 0.0336 0.2500 0.3954 1
Pr1 Pr 0.2509 0.2500 0.8095 1
Er1 Er 0.1612 0.7500 0.0055 1
Er2 Er 0.3719 0.7500 0.4056 1
Th1 Th 0.4189 0.2500 0.2043 1
```